Computed, not measured: a geometry-optimized Rb3Be5Br12 structure at the GGA-PBE level of DFT.

The space group is Ia-3d (No. 230) and the conventional cell measures 16.527, 16.527 and 16.527 Å, with angles of 90.00, 90.00 and 90.00 degrees. The distinct sites, in fractional coordinates, are Rb at (0.000, 0.250, 0.125), Be at (0.000, 0.000, 0.000), Be at (0.000, 0.250, 0.375) and Br at (0.044, 0.044, 0.649).

The value obtained for the density of states at the Fermi level is 0.263 states/eV per atom. The energy comes out at -3.0040 eV per atom. Its formation energy from raw total energies is -1782 kJ/mol of formula units.



Computed, not measured: a geometry-optimized Cs3TbNp2Se6 structure at the GGA-PBE level of DFT.

The space group is C2/m (No. 12) and the conventional cell measures 7.480, 12.956 and 8.739 Å, with angles of 90.00, 106.57 and 90.00 degrees. The distinct sites, in fractional coordinates, are Cs at (0.000, 0.000, 0.000), Cs at (0.000, 0.334, 0.000), Tb at (0.000, 0.500, 0.500), Np at (0.000, 0.167, 0.500), Se at (0.228, 0.334, 0.686) and Se at (0.230, 0.000, 0.686).

The value obtained for the density of states at the Fermi level is 1.656 states/eV per atom. The energy comes out at -5.8850 eV per atom. Its formation energy from raw total energies is -1606 kJ/mol of formula units.



Computed, not measured: a geometry-optimized PrTh2Pt9 structure at the GGA-PBE level of DFT.

The space group is P4/mmm (No. 123) and the conventional cell measures 4.232, 4.232 and 12.680 Å, with angles of 90.00, 90.00 and 90.00 degrees. The distinct sites, in fractional coordinates, are Pr at (0.000, 0.000, 0.000), Th at (0.000, 0.000, 0.331), Pt at (0.000, 0.500, 0.169), Pt at (0.000, 0.500, 0.500), Pt at (0.500, 0.500, 0.000) and Pt at (0.500, 0.500, 0.335).

The value obtained for the density of states at the Fermi level is 0.116 states/eV per atom. Its relative energy among the computed polymorphs is 0.00 eV per formula unit. The formation enthalpy at 0 K comes out at -12.53 eV/f.u. The energy comes out at -7.2096 eV per atom.



Computed, not measured: a geometry-optimized TaBOs3 structure at the GGA-PBE level of DFT.

The space group is Pm-3m (No. 221) and the conventional cell measures 4.103, 4.103 and 4.103 Å, with angles of 90.00, 90.00 and 90.00 degrees. The distinct sites, in fractional coordinates, are Ta at (0.000, 0.000, 0.000), B at (0.500, 0.500, 0.500) and Os at (0.000, 0.500, 0.500).

The value obtained for the density of states at the Fermi level is 0.235 states/eV per atom. Its relative energy among the computed polymorphs is 0.00 eV per formula unit. The formation enthalpy at 0 K comes out at -0.77 eV/f.u. The energy comes out at -10.5982 eV per atom.



Computed, not measured: a geometry-optimized KZrBe2 structure at the GGA-PBE level of DFT.

The space group is I-42d (No. 122) and the conventional cell measures 7.522, 7.522 and 6.554 Å, with angles of 90.00, 90.00 and 90.00 degrees. The distinct sites, in fractional coordinates, are K at (0.000, 0.000, 0.000), Zr at (0.000, 0.000, 0.500) and Be at (0.206, 0.250, 0.625).

The value obtained for the density of states at the Fermi level is 1.217 states/eV per atom. Its relative energy among the computed polymorphs is 3.23 eV per formula unit. The formation enthalpy at 0 K comes out at 5.07 eV/f.u. The energy comes out at -3.0080 eV per atom.



Computed, not measured: a geometry-optimized Hf4CuGe structure at the GGA-PBE level of DFT.

The space group is I4_1md (No. 109) and the conventional cell measures 8.718, 8.718 and 7.280 Å, with angles of 90.00, 90.00 and 90.00 degrees. The distinct sites, in fractional coordinates, are Hf at (0.000, 0.200, 0.000), Hf at (0.000, 0.222, 0.477), Cu at (0.000, 0.000, 0.259) and Ge at (0.000, 0.000, 0.724).

The value obtained for the density of states at the Fermi level is 1.073 states/eV per atom. Its relative energy among the computed polymorphs is 3.97 eV per formula unit. The formation enthalpy at 0 K comes out at 1.81 eV/f.u. The energy comes out at -7.7863 eV per atom.



Computed, not measured: a geometry-optimized KNbCd structure at the GGA-PBE level of DFT.

The space group is P6_3/mmc (No. 194) and the conventional cell measures 5.8064, 5.8064 and 11.4768 Å, with angles of 90.00, 90.00 and 120.00 degrees. The distinct sites, in fractional coordinates, are K at (0.3333, 0.6667, 0.2500), Nb at (0.0000, 0.0000, 0.0000) and Cd at (0.0000, 0.0000, 0.2500).

The value obtained for the density of states at the Fermi level is 2.213 states/eV per atom. Its relative energy among the computed polymorphs is 4.42 eV per formula unit. The formation enthalpy at 0 K comes out at 5.14 eV/f.u. The energy comes out at -2.3142 eV per atom.



Computed, not measured: a geometry-optimized K2SrAgF6 structure at the GGA-PBE level of DFT.

The space group is P2_1/c (No. 14) and the conventional cell measures 6.355, 6.622 and 10.726 Å, with angles of 90.00, 125.86 and 90.00 degrees. The distinct sites, in fractional coordinates, are K at (0.227, 0.054, 0.245), Sr at (0.000, 0.000, 0.500), Ag at (0.500, 0.000, 0.000), F at (0.165, 0.198, 0.956), F at (0.233, 0.701, 0.937) and F at (0.371, 0.041, 0.770).

The value obtained for the density of states at the Fermi level is 0.156 states/eV per atom. The energy comes out at -4.3955 eV per atom. Its formation energy from raw total energies is -2509 kJ/mol of formula units.



Computed, not measured: a geometry-optimized BeZn3C structure at the GGA-PBE level of DFT.

The space group is Pm-3m (No. 221) and the conventional cell measures 4.116, 4.116 and 4.116 Å, with angles of 90.00, 90.00 and 90.00 degrees. The distinct sites, in fractional coordinates, are Be at (0.000, 0.000, 0.000), Zn at (0.000, 0.500, 0.500) and C at (0.500, 0.500, 0.500).

The value obtained for the density of states at the Fermi level is 0.308 states/eV per atom. Its relative energy among the computed polymorphs is 0.00 eV per formula unit. The formation enthalpy at 0 K comes out at 4.42 eV/f.u. The energy comes out at -2.4696 eV per atom.



Computed, not measured: a geometry-optimized MgOF structure at the GGA-PBE level of DFT.

The space group is Amm2 (No. 38) and the conventional cell measures 3.887, 3.041 and 9.827 Å, with angles of 90.00, 90.00 and 90.00 degrees. The distinct sites, in fractional coordinates, are Mg at (0.000, 0.000, 0.000), Mg at (0.500, 0.000, 0.262), O at (0.303, 0.000, 0.623), F at (0.000, 0.000, 0.353) and F at (0.500, 0.000, 0.900).

The value obtained for the density of states at the Fermi level is 0.000 states/eV per atom. The energy comes out at -5.2673 eV per atom. Its formation energy from raw total energies is -712 kJ/mol of formula units.